No. 1
# BaTaReAs2

A relaxed structure of BaTaReAs2 (PBE-GGA, Alexandria).

Lattice parameters (Å, degrees): 4.971 4.971 5.093 90.00 90.00 90.00
Fractional coordinates of all 5 atoms:
Ba (0.000, 0.000, 0.000)
Ta (0.500, 0.500, 0.000)
Re (0.500, 0.500, 0.500)
As (0.000, 0.500, 0.500)
As (0.500, 0.000, 0.500)

Output
* raw total energy: -6.622 eV per atom
* excess energy over the best structure of this formula in the dataset: 0.0 kJ per mole of atoms
* formation energy: 0.483 eV per atom

---

No. 2
# BaTaReAs2

A relaxed structure of BaTaReAs2 (PBE-GGA, Alexandria).

Lattice parameters (Å, degrees): 4.863 4.863 5.732 90.00 90.00 90.00
Fractional coordinates of all 5 atoms:
Ba (0.000, 0.000, 0.000)
Ta (0.500, 0.500, 0.000)
Re (0.000, 0.000, 0.500)
As (0.000, 0.500, 0.500)
As (0.500, 0.000, 0.500)

Output
* raw total energy: -5.817 eV per atom
* excess energy over the best structure of this formula in the dataset: 77.7 kJ per mole of atoms
* formation energy: 1.288 eV per atom

---

No. 3
# BaTa2ReAs

A relaxed structure of BaTa2ReAs (PBE-GGA, Alexandria).

Lattice parameters (Å, degrees): 5.102 5.102 4.967 90.00 90.00 90.00
Fractional coordinates of all 5 atoms:
Ba (0.000, 0.000, 0.000)
Ta (0.000, 0.500, 0.000)
Ta (0.500, 0.000, 0.000)
Re (0.000, 0.000, 0.500)
As (0.500, 0.500, 0.500)

Output
* raw total energy: -5.256 eV per atom
* formation energy: 3.289 eV per atom

---

No. 4
# Ba2TiReAs

A relaxed structure of Ba2TiReAs (PBE-GGA, Alexandria).

Lattice parameters (Å, degrees): 6.258 6.258 4.818 90.00 90.00 90.00
Fractional coordinates of all 5 atoms:
Ba (0.000, 0.500, 0.000)
Ba (0.500, 0.000, 0.000)
Ti (0.000, 0.000, 0.500)
Re (0.500, 0.500, 0.500)
As (0.000, 0.000, 0.000)

Output
* raw total energy: -4.832 eV per atom
* formation energy: 0.936 eV per atom

---

No. 5
# BaAs2Rh2

A relaxed structure of BaAs2Rh2 (PBE-GGA, Alexandria).

Lattice parameters (Å, degrees): 10.990 10.990 10.990 156.91 156.91 32.88
Fractional coordinates of all 10 atoms:
Ba (0.124, 0.124, 0.000)
Ba (0.876, 0.876, 0.000)
As (0.250, 0.750, 0.500)
As (0.432, 0.432, 0.000)
As (0.568, 0.568, 0.000)
As (0.750, 0.250, 0.500)
Rh (0.000, 0.500, 0.500)
Rh (0.307, 0.307, 0.000)
Rh (0.500, 0.000, 0.500)
Rh (0.693, 0.693, 0.000)

Output
* raw total energy: -5.874 eV per atom
* formation energy: -0.689 eV per atom

---

No. 6
# BaAsRh2

A relaxed structure of BaAsRh2 (PBE-GGA, Alexandria).

Lattice parameters (Å, degrees): 3.228 3.757 7.295 90.00 101.96 90.00
Fractional coordinates of all 4 atoms:
Ba (0.000, 0.000, 0.000)
As (0.000, 0.000, 0.500)
Rh (0.355, 0.500, 0.668)
Rh (0.645, 0.500, 0.332)

Output
* raw total energy: -5.430 eV per atom
* formation energy: -0.111 eV per atom

---

No. 7
# BaAsRh2

A relaxed structure of BaAsRh2 (PBE-GGA, Alexandria).

Lattice parameters (Å, degrees): 3.450 3.622 14.055 90.00 90.00 90.00
Fractional coordinates of all 8 atoms:
Ba (0.000, 0.000, 0.000)
Ba (0.500, 0.500, 0.500)
As (0.000, 0.500, 0.267)
As (0.500, 0.000, 0.767)
Rh (0.000, 0.000, 0.646)
Rh (0.000, 0.500, 0.810)
Rh (0.500, 0.000, 0.310)
Rh (0.500, 0.500, 0.146)

Output
* raw total energy: -5.455 eV per atom
* formation energy: -0.136 eV per atom

---

No. 8
# Ba6AsRh

A relaxed structure of Ba6AsRh (PBE-GGA, Alexandria).

Lattice parameters (Å, degrees): 7.984 13.804 8.094 90.00 90.44 90.00
Fractional coordinates of all 16 atoms:
Ba (0.153, 0.152, 0.238)
Ba (0.153, 0.848, 0.238)
Ba (0.196, 0.500, 0.235)
Ba (0.304, 0.000, 0.765)
Ba (0.347, 0.348, 0.762)
Ba (0.347, 0.652, 0.762)
Ba (0.653, 0.348, 0.238)
Ba (0.653, 0.652, 0.238)
Ba (0.696, 0.000, 0.235)
Ba (0.804, 0.500, 0.765)
Ba (0.847, 0.152, 0.762)
Ba (0.847, 0.848, 0.762)
As (0.000, 0.000, 0.500)
As (0.500, 0.500, 0.500)
Rh (0.000, 0.000, 0.000)
Rh (0.500, 0.500, 0.000)

Output
* raw total energy: -3.294 eV per atom
* formation energy: -0.352 eV per atom